Entry a
MoP2Pb: optimized geometry, PBE-GGA.

Cell: 5.403 5.403 5.403 Å, 136.52 136.52 63.18°
Element x y z (fractional)
P  0.250  0.750  0.500
P  0.000  0.000  0.000
Mo  0.750  0.250  0.500
Pb  0.500  0.500  0.000

Calculated values
theoretical density: 8.2 g/cm³
total moment: 1.6 μB per cell
SG: I-4m2 (119)


Entry b
MoP2Pb: optimized geometry, PBE-GGA.

Cell: 4.474 4.474 6.433 Å, 75.45 75.45 43.02°
Element x y z (fractional)
Pb  0.412  0.412  0.500
P  0.224  0.224  0.199
Mo  0.784  0.784  0.918
P  0.080  0.080  0.883

Calculated values
theoretical density: 7.2 g/cm³
total moment: 0.0 μB per cell
SG: Cm (8)


Entry c
MoP2Pb: optimized geometry, PBE-GGA.

Cell: 5.846 5.846 7.308 Å, 66.42 66.42 90.00°
Element x y z (fractional)
P  0.875  0.793  0.750
Mo  0.500  0.500  0.000
Mo  0.250  0.750  0.500
Pb  0.000  0.000  0.000
P  0.543  0.125  0.250
P  0.207  0.625  0.250
P  0.375  0.457  0.750
Pb  0.750  0.250  0.500

Calculated values
theoretical density: 5.9 g/cm³
total moment: 0.0 μB per cell
SG: I-42d (122)


Entry d
MoP2Pb: optimized geometry, PBE-GGA.

Cell: 3.847 6.694 5.488 Å, 34.38 90.00 90.00°
Element x y z (fractional)
P  0.500  0.500  0.000
Pb  0.500  0.500  0.500
Mo  0.000  0.000  0.500
P  0.000  0.000  0.000

Calculated values
theoretical density: 7.6 g/cm³
total moment: 2.1 μB per cell
SG: P2/m (10)


Q: Which of them is the least stable? A: entry a.


Entry a
Mo3PPd: optimized geometry, PBE-GGA.

Cell: 4.430 4.430 4.430 Å, 90.00 90.00 90.00°
Element x y z (fractional)
P  0.000  0.000  0.000
Mo  0.500  0.000  0.000
Pd  0.500  0.500  0.500
Mo  0.000  0.000  0.500
Mo  0.000  0.500  0.000

Calculated values
theoretical density: 8.1 g/cm³
total moment: 0.0 μB per cell
SG: Pm-3m (221)


Entry b
Mo3PPd: optimized geometry, PBE-GGA.

Cell: 4.725 4.725 4.725 Å, 90.00 90.00 90.00°
Element x y z (fractional)
Pd  0.000  0.000  0.000
Mo  0.500  0.000  0.000
P  0.500  0.500  0.500
Mo  0.000  0.500  0.000
Mo  0.000  0.000  0.500

Calculated values
theoretical density: 6.7 g/cm³
total moment: 0.0 μB per cell
SG: Pm-3m (221)


Q: Which of them is the least stable? A: entry b.


Entry a
MoP2Pd2: optimized geometry, PBE-GGA.

Cell: 4.011 4.011 5.587 Å, 68.96 68.96 90.00°
Element x y z (fractional)
Pd  0.750  0.250  0.500
P  0.609  0.609  0.782
Pd  0.250  0.750  0.500
P  0.391  0.391  0.218
Mo  0.000  0.000  0.000

Calculated values
theoretical density: 7.9 g/cm³
total moment: 2.7 μB per cell
SG: I4/mmm (139)


Entry b
MoP2Pd2: optimized geometry, PBE-GGA.

Cell: 6.561 6.561 3.416 Å, 90.00 90.00 90.00°
Element x y z (fractional)
P  0.156  0.344  0.000
Mo  0.500  0.500  0.000
Pd  0.850  0.350  0.500
Pd  0.350  0.150  0.500
Mo  0.000  0.000  0.000
Pd  0.150  0.650  0.500
Pd  0.650  0.850  0.500
P  0.656  0.156  0.000
P  0.844  0.656  0.000
P  0.344  0.844  0.000

Calculated values
theoretical density: 8.4 g/cm³
total moment: 0.0 μB per cell
SG: P4/mbm (127)


Q: Which of them is the least stable? A: entry a.